## Th3Sn (PBE)

Data for an optimized crystal structure of Th3Sn.

The structure in POSCAR format:
```
Th3Sn
1.0
4.874 0.000 0.000
0.000 4.874 0.000
0.000 0.000 10.174
Th Sn
6 2
direct
0.000 0.000 0.000
0.000 0.500 0.250
0.000 0.500 0.750
0.500 0.000 0.250
0.500 0.000 0.750
0.500 0.500 0.500
0.000 0.000 0.500
0.500 0.500 0.000
```

## Properties
Its magnetization is 0.0000 μB per atom. Its space group is No. 139. Its formation energy is -0.24 eV per atom. As for the mass density: 11196 kg/m³. The calculation puts the volume at 30.2 Å³/atom.